1.
Entry from Alexandria: a relaxed Hf4NiBi crystal (PBE).

a = 5.462 Å, b = 7.993 Å, c = 7.323 Å
α = 114.50°, β = 100.44°, γ = 110.57°
Positions (direct):
1 Hf 0.043 0.183 0.809
2 Hf 0.775 0.718 0.632
3 Hf 0.267 0.627 0.809
4 Hf 0.357 0.913 0.632
5 Hf 0.643 0.087 0.368
6 Hf 0.733 0.373 0.191
7 Hf 0.225 0.282 0.368
8 Hf 0.957 0.817 0.191
9 Ni 0.253 0.003 0.006
10 Ni 0.747 0.997 0.994
11 Bi 0.358 0.608 0.216
12 Bi 0.642 0.392 0.784

Output
Magnetic moment   0.00 μB/cell
VASP energy   -101.0 eV per cell
Energy of formation from the pure elements   -174 meV/atom

2.
Entry from Alexandria: a relaxed Hf2Ni2Bi crystal (PBE).

a = 7.028 Å, b = 7.028 Å, c = 3.620 Å
α = 90.00°, β = 90.00°, γ = 90.00°
Positions (direct):
1 Ni 0.377 0.877 0.000
2 Ni 0.877 0.623 0.000
3 Ni 0.623 0.123 0.000
4 Ni 0.123 0.377 0.000
5 Hf 0.161 0.661 0.500
6 Hf 0.661 0.839 0.500
7 Hf 0.839 0.339 0.500
8 Hf 0.339 0.161 0.500
9 Bi 0.000 0.000 0.000
10 Bi 0.500 0.500 0.000

Output
Excess energy over the best structure of this formula in the dataset   0 meV per atom
Magnetic moment   0.00 μB/cell
VASP energy   -74.4 eV per cell
Energy of formation from the pure elements   -367 meV/atom